[1]
The following is a DFT calculation (PBE) of a geometry-optimized AlPtO2 structure.

Properties
Total energy in eV per cell: -24.5
Formation energy from raw total energies in eV per atom: -1.209

Cell: 2.9845 2.9845 7.1660 Å, 90.00 90.00 120.00°
Space group P3m1 (No. 156)
Unique sites:
Al 0.0000 0.0000 0.0000 x1
Pt 0.6667 0.3333 0.4455 x1
O 0.0000 0.0000 0.2426 x1
O 0.3333 0.6667 0.9269 x1

***

[2]
The following is a DFT calculation (PBE) of a geometry-optimized LiEr3Sn12 structure.

Properties
Total energy in eV per cell: -68.9
E_form in meV/atom: -331

Cell: 4.6405 4.6405 19.0874 Å, 90.00 90.00 90.00°
Space group P4/mmm (No. 123)
Unique sites:
Li 0.0000 0.0000 0.0000 x1
Er 0.0000 0.0000 0.2526 x2
Er 0.0000 0.0000 0.5000 x1
Sn 0.0000 0.5000 0.1214 x4
Sn 0.0000 0.5000 0.3741 x4
Sn 0.5000 0.5000 0.0000 x1
Sn 0.5000 0.5000 0.2458 x2
Sn 0.5000 0.5000 0.5000 x1

***

[3]
The following is a DFT calculation (PBE) of a geometry-optimized TmPu2Nb structure.

Properties
Total energy in eV per cell: -126.1
E_form in meV/atom: 295
Energy above the most stable polymorph in this dataset in eV/atom: 0.000

Cell: 3.2714 3.2714 31.8814 Å, 90.00 90.00 120.00°
Space group R-3m (No. 166, hexagonal axes)
Unique sites:
Tm 0.0000 0.0000 0.0000 x3
Pu 0.0000 0.0000 0.2429 x6
Nb 0.0000 0.0000 0.5000 x3

***

[4]
The following is a DFT calculation (PBE) of a geometry-optimized Li3BiF7 structure.

Properties
Total energy in eV per cell: -100.9
Formation energy from raw total energies in eV per atom: -2.521

Cell: 8.0726 6.7001 5.7146 Å, 90.00 115.60 90.00°
Space group Cm (No. 8)
Unique sites:
Li 0.0000 0.0000 0.0000 x2
Li 0.1229 0.2588 0.6220 x4
Bi 0.4921 0.0000 0.0526 x2
F 0.1041 0.2139 0.2596 x4
F 0.1857 0.0000 0.8487 x2
F 0.2260 0.5000 0.9560 x2
F 0.4073 0.2486 0.7566 x4
F 0.4863 0.0000 0.4347 x2

***

[5]
The following is a DFT calculation (PBE) of a geometry-optimized Re2NiBr structure.

Properties
Total energy in eV per cell: -57.4
Formation energy from raw total energies in eV per atom: 0.914
Energy above the most stable polymorph in this dataset in eV/atom: 0.441

Cell: 3.0745 4.1891 13.2402 Å, 90.00 90.00 90.00°
Space group Cmmm (No. 65)
Unique sites:
Re 0.0000 0.0000 0.1544 x4
Ni 0.0000 0.5000 0.0000 x2
Br 0.0000 0.5000 0.5000 x2

***

[6]
The following is a DFT calculation (PBE) of a geometry-optimized Na2Ac3PmSe6 structure.

Properties
Total energy in eV per cell: -123.2
Formation energy from raw total energies in eV per atom: -1.748

Cell: 7.6513 13.2351 7.4540 Å, 90.00 109.92 90.00°
Space group C2/m (No. 12)
Unique sites:
Na 0.0000 0.1660 0.0000 x4
Ac 0.0000 0.0000 0.5000 x2
Ac 0.0000 0.3305 0.5000 x4
Pm 0.0000 0.5000 0.0000 x2
Se 0.2433 0.3358 0.2364 x8
Se 0.2470 0.5000 0.7580 x4

***

Question: Which of these has the lowest total energy?
Answer: TmPu2Nb

***

Repeat the fourth record exactly.
The following is a DFT calculation (PBE) of a geometry-optimized Li3BiF7 structure.

Properties
Total energy in eV per cell: -100.9
Formation energy from raw total energies in eV per atom: -2.521

Cell: 8.0726 6.7001 5.7146 Å, 90.00 115.60 90.00°
Space group Cm (No. 8)
Unique sites:
Li 0.0000 0.0000 0.0000 x2
Li 0.1229 0.2588 0.6220 x4
Bi 0.4921 0.0000 0.0526 x2
F 0.1041 0.2139 0.2596 x4
F 0.1857 0.0000 0.8487 x2
F 0.2260 0.5000 0.9560 x2
F 0.4073 0.2486 0.7566 x4
F 0.4863 0.0000 0.4347 x2

***

Question: Look up the total energy of the third one.
Answer: -126.1 eV per cell

***

Question: The lowest total energy belongs to which entry?
Answer: TmPu2Nb